No. 1
Below is a relaxed structure of NdSnPb, with properties calculated at the PBE-GGA level.

Output
- Relative energy among the computed polymorphs: 199 meV per atom
- Formation energy: -350 meV per atom

Cell: 3.544 5.415 5.415 Å, 120.00 90.00 90.00°
Atoms (fractional coordinates):
Pb (0.831, 0.667, 0.333)
Nd (0.333, 0.333, 0.667)
Sn (0.836, 0.000, 0.000)



No. 2
Below is a relaxed structure of Nd3SnPb2, with properties calculated at the PBE-GGA level.

Output
- Relative energy among the computed polymorphs: 0 meV per atom
- Formation energy: -515 meV per atom

Cell: 4.691 12.342 13.217 Å, 90.00 90.00 90.00°
Atoms (fractional coordinates):
Nd (0.750, 0.617, 0.950)
Nd (0.250, 0.062, 0.876)
Nd (0.250, 0.438, 0.376)
Pb (0.250, 0.985, 0.314)
Nd (0.750, 0.883, 0.450)
Pb (0.250, 0.788, 0.010)
Pb (0.750, 0.212, 0.990)
Nd (0.750, 0.292, 0.765)
Nd (0.250, 0.792, 0.735)
Pb (0.750, 0.288, 0.490)
Sn (0.250, 0.377, 0.622)
Nd (0.250, 0.117, 0.550)
Nd (0.250, 0.708, 0.235)
Sn (0.750, 0.623, 0.378)
Sn (0.750, 0.877, 0.878)
Pb (0.250, 0.515, 0.814)
Nd (0.750, 0.562, 0.624)
Pb (0.750, 0.015, 0.686)
Nd (0.750, 0.938, 0.124)
Nd (0.750, 0.208, 0.265)
Nd (0.250, 0.383, 0.050)
Sn (0.250, 0.123, 0.122)
Pb (0.750, 0.485, 0.186)
Pb (0.250, 0.712, 0.510)



No. 3
Below is a relaxed structure of Nd4SnPb3, with properties calculated at the PBE-GGA level.

Output
- Formation energy: -618 meV per atom

Cell: 4.675 4.506 11.934 Å, 90.00 90.00 90.00°
Atoms (fractional coordinates):
Nd (0.500, 0.000, 0.633)
Pb (0.500, 0.000, 0.906)
Sn (0.500, 0.500, 0.093)
Nd (0.500, 0.500, 0.364)
Nd (0.000, 0.500, 0.869)
Pb (0.000, 0.500, 0.597)
Pb (0.000, 0.000, 0.405)
Nd (0.000, 0.000, 0.133)



No. 4
Below is a relaxed structure of NdSnPb, with properties calculated at the PBE-GGA level.

Output
- Relative energy among the computed polymorphs: 284 meV per atom
- Formation energy: -265 meV per atom

Cell: 3.596 6.092 8.301 Å, 90.00 90.00 90.00°
Atoms (fractional coordinates):
Nd (0.000, 0.750, 0.340)
Pb (0.500, 0.250, 0.304)
Nd (0.000, 0.250, 0.660)
Sn (0.000, 0.500, 0.000)
Sn (0.000, 0.000, 0.000)
Pb (0.500, 0.750, 0.696)



No. 5
Below is a relaxed structure of Nd4SnPb2, with properties calculated at the PBE-GGA level.

Output
- Formation energy: -410 meV per atom

Cell: 5.037 5.037 11.542 Å, 77.40 77.40 60.00°
Atoms (fractional coordinates):
Nd (0.701, 0.701, 0.896)
Nd (0.122, 0.122, 0.633)
Nd (0.299, 0.299, 0.104)
Nd (0.878, 0.878, 0.367)
Sn (0.500, 0.500, 0.500)
Pb (0.596, 0.596, 0.213)
Pb (0.404, 0.404, 0.787)



No. 6
Below is a relaxed structure of Nd6SnPb, with properties calculated at the PBE-GGA level.

Output
- Formation energy: -396 meV per atom

Cell: 4.973 4.973 9.957 Å, 90.00 90.00 90.00°
Atoms (fractional coordinates):
Nd (0.000, 0.500, 0.747)
Pb (0.000, 0.000, 0.000)
Sn (0.000, 0.000, 0.500)
Nd (0.500, 0.500, 0.000)
Nd (0.500, 0.000, 0.747)
Nd (0.000, 0.500, 0.253)
Nd (0.500, 0.000, 0.253)
Nd (0.500, 0.500, 0.500)